A plane-wave DFT calculation with PBE was carried out for Li2PdAu after structural relaxation.

The formation energy comes out at -190 kJ/mol of formula units. As for the raw total energy: -3.5666 eV/atom.

The structure belongs to space group P4/mmm (No. 123); the cell edges are 3.1518, 3.1518 and 5.7666 Å and the angles 90.00°, 90.00° and 90.00°. The distinct sites, in fractional coordinates, are Li at (0.0000, 0.0000, 0.2428), Pd at (0.5000, 0.5000, 0.0000) and Au at (0.5000, 0.5000, 0.5000).


A plane-wave DFT calculation with PBE was carried out for TcAg2P after structural relaxation.

The formation energy comes out at 193 kJ/mol of formula units. As for the raw total energy: -4.8698 eV/atom.

The structure belongs to space group I4/mmm (No. 139); the cell edges are 3.6936, 3.6936 and 9.6319 Å and the angles 90.00°, 90.00° and 90.00°. The distinct sites, in fractional coordinates, are Tc at (0.0000, 0.0000, 0.0000), Ag at (0.0000, 0.5000, 0.2500) and P at (0.0000, 0.0000, 0.5000).


A plane-wave DFT calculation with PBE was carried out for LaFe3Se after structural relaxation.

As for the raw total energy: -6.3155 eV/atom. As for the formation energy (no corrections): 214 kJ/mol of formula units.

The structure belongs to space group Pm-3m (No. 221); the cell edges are 4.4139, 4.4139 and 4.4139 Å and the angles 90.00°, 90.00° and 90.00°. The distinct sites, in fractional coordinates, are La at (0.0000, 0.0000, 0.0000), Fe at (0.0000, 0.5000, 0.5000) and Se at (0.5000, 0.5000, 0.5000).


A plane-wave DFT calculation with PBE was carried out for Er2SbTe6 after structural relaxation.

As for the raw total energy: -4.0927 eV/atom. As for the formation energy (no corrections): -457 kJ/mol of formula units.

The structure belongs to space group P4_2/mnm (No. 136); the cell edges are 7.1125, 7.1125 and 13.3606 Å and the angles 90.00°, 90.00° and 90.00°. The distinct sites, in fractional coordinates, are Er at (0.0000, 0.0000, 0.1615), Sb at (0.0000, 0.0000, 0.5000), Te at (0.1987, 0.1987, 0.3293) and Te at (0.2040, 0.2040, 0.0000).


A plane-wave DFT calculation with PBE was carried out for Ac4SmS5 after structural relaxation.

As for the raw total energy: -6.1718 eV/atom. As for the formation energy (no corrections): -1923 kJ/mol of formula units.

The structure belongs to space group I4/m (No. 87); the cell edges are 9.4962, 9.4962 and 6.0226 Å and the angles 90.00°, 90.00° and 90.00°. The distinct sites, in fractional coordinates, are Ac at (0.0976, 0.3005, 0.0000), Sm at (0.0000, 0.0000, 0.5000), S at (0.0000, 0.0000, 0.0000) and S at (0.0981, 0.2896, 0.5000).


A plane-wave DFT calculation with PBE was carried out for Sn3TeN after structural relaxation.

As for the raw total energy: -2.9018 eV/atom. As for the formation energy (no corrections): 865 kJ/mol of formula units.

The structure belongs to space group Pm-3m (No. 221); the cell edges are 5.8501, 5.8501 and 5.8501 Å and the angles 90.00°, 90.00° and 90.00°. The distinct sites, in fractional coordinates, are Sn at (0.0000, 0.0000, 0.5000), Te at (0.0000, 0.0000, 0.0000) and N at (0.5000, 0.5000, 0.5000).


A plane-wave DFT calculation with PBE was carried out for MgMnGaSiS after structural relaxation.

As for the raw total energy: -4.8775 eV/atom. As for the formation energy (no corrections): -101 kJ/mol of formula units.

The structure belongs to space group Pmm2 (No. 25); the cell edges are 3.3234, 3.3441 and 7.8185 Å and the angles 90.00°, 90.00° and 90.00°. The distinct sites, in fractional coordinates, are Mg at (0.0000, 0.0000, 0.0000), Mn at (0.5000, 0.0000, 0.7093), Ga at (0.5000, 0.0000, 0.3958), Si at (0.0000, 0.5000, 0.6991) and S at (0.0000, 0.5000, 0.2451).


A plane-wave DFT calculation with PBE was carried out for NaThPt after structural relaxation.

The formation energy comes out at -161 kJ/mol of formula units. As for the raw total energy: -5.4822 eV/atom.

The structure belongs to space group C2/m (No. 12); the cell edges are 8.4815, 4.9237 and 8.8657 Å and the angles 90.00°, 108.91° and 90.00°. The distinct sites, in fractional coordinates, are Na at (0.1405, 0.0000, 0.4209), Th at (0.1180, 0.5000, 0.8533) and Pt at (0.2340, 0.5000, 0.1991).


A plane-wave DFT calculation with PBE was carried out for GdScSn2 after structural relaxation.

The formation energy comes out at -198 kJ/mol of formula units. As for the raw total energy: -7.6181 eV/atom.

The structure belongs to space group Fm-3m (No. 225); the cell edges are 7.4213, 7.4213 and 7.4213 Å and the angles 90.00°, 90.00° and 90.00°. The distinct sites, in fractional coordinates, are Gd at (0.0000, 0.0000, 0.0000), Sc at (0.0000, 0.0000, 0.5000) and Sn at (0.2500, 0.2500, 0.2500).


A plane-wave DFT calculation with PBE was carried out for AgPbBrN2 after structural relaxation.

As for the raw total energy: -3.4585 eV/atom. As for the formation energy (no corrections): 732 kJ/mol of formula units.

The structure belongs to space group P4/mmm (No. 123); the cell edges are 4.3178, 4.3178 and 7.5970 Å and the angles 90.00°, 90.00° and 90.00°. The distinct sites, in fractional coordinates, are Ag at (0.0000, 0.0000, 0.0000), Pb at (0.0000, 0.0000, 0.5000), Br at (0.5000, 0.5000, 0.0000) and N at (0.0000, 0.5000, 0.5000).


Ordered volume results: 57.28 131.40 85.99 675.89 543.11 200.21 86.89 350.26 408.74 141.64; unit Å³/cell.